1.
Material: Sm12Tm6Tl
Method: DFT, PBE
State: relaxed

For the volume, the calculation gives 32.73 Å³ per atom. The formation energy from the elements is 0.084 eV per atom. The total moment comes out at 0.00 μB per formula unit. The value obtained for the total DFT energy (no corrections) is -252.7 eV for the cell shown.

It has space group R-3 (No. 148, hexagonal axes), with a = 11.9416 Å, b = 11.9416 Å, c = 15.1056 Å, α = 90.00°, β = 90.00° and γ = 120.00°. Symmetry generates all atoms from Sm at (0.0074, 0.8285, 0.3137), Sm at (0.0466, 0.1997, 0.9151), Tm at (0.0240, 0.5903, 0.1906) and Tl at (0.0000, 0.0000, 0.5000).

2.
Material: SmTm3Tl4
Method: DFT, PBE
State: relaxed

For the volume, the calculation gives 27.10 Å³ per atom. The distance to the lowest polymorph of the same formula comes out at 0 meV per atom. The formation energy from the elements is -0.313 eV per atom. The total moment comes out at 0.00 μB per formula unit. The value obtained for the total DFT energy (no corrections) is -60.2 eV for the cell shown.

It has space group Pmma (No. 51), with a = 10.7568 Å, b = 7.4987 Å, c = 5.3759 Å, α = 90.00°, β = 90.00° and γ = 90.00°. Symmetry generates all atoms from Sm at (0.0000, 0.0000, 0.0000), Tm at (0.0000, 0.5000, 0.0000), Tm at (0.2500, 0.0000, 0.4976), Tm at (0.2500, 0.5000, 0.4970), Tl at (0.0000, 0.2559, 0.5000) and Tl at (0.2500, 0.2558, 0.9969).

3.
Material: Sm4TmTl
Method: DFT, PBE
State: relaxed

For the volume, the calculation gives 31.78 Å³ per atom. The distance to the lowest polymorph of the same formula comes out at 0 meV per atom. The formation energy from the elements is -0.099 eV per atom. The total moment comes out at 0.00 μB per formula unit. The value obtained for the total DFT energy (no corrections) is -26.3 eV for the cell shown.

It has space group P4/mmm (No. 123), with a = 3.6362 Å, b = 3.6362 Å, c = 14.4224 Å, α = 90.00°, β = 90.00° and γ = 90.00°. Symmetry generates all atoms from Sm at (0.0000, 0.0000, 0.1499), Sm at (0.5000, 0.5000, 0.3278), Tm at (0.0000, 0.0000, 0.5000) and Tl at (0.5000, 0.5000, 0.0000).

4.
Material: Sm4TmTl7
Method: DFT, PBE
State: relaxed

For the volume, the calculation gives 31.19 Å³ per atom. The formation energy from the elements is -0.138 eV per atom. The total moment comes out at 0.00 μB per formula unit. The value obtained for the total DFT energy (no corrections) is -83.1 eV for the cell shown.

It has space group C2/m (No. 12), with a = 13.6577 Å, b = 5.6632 Å, c = 11.5686 Å, α = 90.00°, β = 123.23° and γ = 90.00°. Symmetry generates all atoms from Sm at (0.0865, 0.0000, 0.2823), Sm at (0.2240, 0.0000, 0.8283), Tm at (0.0000, 0.5000, 0.5000), Tl at (0.0000, 0.0000, 0.5000), Tl at (0.0834, 0.5000, 0.8201), Tl at (0.1308, 0.0000, 0.0378) and Tl at (0.2152, 0.5000, 0.4004).

5.
Material: Sm2Tm2Tl
Method: DFT, PBE
State: relaxed

For the volume, the calculation gives 30.96 Å³ per atom. The distance to the lowest polymorph of the same formula comes out at 46 meV per atom. The formation energy from the elements is 0.011 eV per atom. The total moment comes out at 0.00 μB per formula unit. The value obtained for the total DFT energy (no corrections) is -41.4 eV for the cell shown.

It has space group P6_3/mmc (No. 194), with a = 5.4320 Å, b = 5.4320 Å, c = 12.1144 Å, α = 90.00°, β = 90.00° and γ = 120.00°. Symmetry generates all atoms from Sm at (0.3333, 0.6667, 0.0860), Tm at (0.0000, 0.0000, 0.0000), Tm at (0.3333, 0.6667, 0.7500) and Tl at (0.0000, 0.0000, 0.2500).

6.
Material: Sm6TmTl3
Method: DFT, PBE
State: relaxed

For the volume, the calculation gives 30.87 Å³ per atom. The formation energy from the elements is -0.191 eV per atom. The total moment comes out at 0.00 μB per formula unit. The value obtained for the total DFT energy (no corrections) is -83.6 eV for the cell shown.

It has space group P2_1/m (No. 11), with a = 10.3492 Å, b = 5.2699 Å, c = 11.5457 Å, α = 90.00°, β = 101.33° and γ = 90.00°. Symmetry generates all atoms from Sm at (0.0559, 0.2500, 0.4078), Sm at (0.1480, 0.7500, 0.1828), Sm at (0.2351, 0.2500, 0.9895), Sm at (0.3127, 0.7500, 0.7870), Sm at (0.3772, 0.2500, 0.2921), Sm at (0.3976, 0.2500, 0.5988), Tm at (0.4588, 0.7500, 0.0968), Tl at (0.0370, 0.7500, 0.8890), Tl at (0.1211, 0.2500, 0.6989) and Tl at (0.2751, 0.7500, 0.4641).

7.
Material: Sm3Tm4Tl
Method: DFT, PBE
State: relaxed

For the volume, the calculation gives 30.67 Å³ per atom. The formation energy from the elements is -0.076 eV per atom. The total moment comes out at 0.00 μB per formula unit. The value obtained for the total DFT energy (no corrections) is -35.0 eV for the cell shown.

It has space group P4/mmm (No. 123), with a = 3.5845 Å, b = 3.5845 Å, c = 19.0987 Å, α = 90.00°, β = 90.00° and γ = 90.00°. Symmetry generates all atoms from Sm at (0.0000, 0.0000, 0.0000), Sm at (0.0000, 0.0000, 0.2620), Tm at (0.5000, 0.5000, 0.1301), Tm at (0.5000, 0.5000, 0.3915) and Tl at (0.0000, 0.0000, 0.5000).

8.
Material: Sm2TmTl2
Method: DFT, PBE
State: relaxed

For the volume, the calculation gives 30.09 Å³ per atom. The distance to the lowest polymorph of the same formula comes out at 0 meV per atom. The formation energy from the elements is -0.310 eV per atom. The total moment comes out at 0.00 μB per formula unit. The value obtained for the total DFT energy (no corrections) is -40.4 eV for the cell shown.

It has space group P4/mbm (No. 127), with a = 8.1595 Å, b = 8.1595 Å, c = 4.5193 Å, α = 90.00°, β = 90.00° and γ = 90.00°. Symmetry generates all atoms from Sm at (0.1716, 0.3284, 0.0000), Tm at (0.0000, 0.0000, 0.5000) and Tl at (0.1313, 0.6313, 0.5000).

9.
Material: Sm15TmTl4
Method: DFT, PBE
State: relaxed

For the volume, the calculation gives 30.79 Å³ per atom. The formation energy from the elements is -0.148 eV per atom. The total moment comes out at 0.01 μB per formula unit. The value obtained for the total DFT energy (no corrections) is -87.7 eV for the cell shown.

It has space group P4/mmm (No. 123), with a = 4.9430 Å, b = 4.9430 Å, c = 25.2024 Å, α = 90.00°, β = 90.00° and γ = 90.00°. Symmetry generates all atoms from Sm at (0.0000, 0.0000, 0.0000), Sm at (0.0000, 0.0000, 0.2033), Sm at (0.0000, 0.0000, 0.4016), Sm at (0.0000, 0.5000, 0.1038), Sm at (0.0000, 0.5000, 0.3026), Sm at (0.0000, 0.5000, 0.5000), Tm at (0.5000, 0.5000, 0.0000), Tl at (0.5000, 0.5000, 0.2058) and Tl at (0.5000, 0.5000, 0.4015).

10.
Material: Sm3Tm4Tl2
Method: DFT, PBE
State: relaxed

For the volume, the calculation gives 30.74 Å³ per atom. The formation energy from the elements is -0.053 eV per atom. The total moment comes out at 0.00 μB per formula unit. The value obtained for the total DFT energy (no corrections) is -149.0 eV for the cell shown.

It has space group C2/c (No. 15), with a = 13.9551 Å, b = 12.5812 Å, c = 6.4010 Å, α = 90.00°, β = 99.99° and γ = 90.00°. Symmetry generates all atoms from Sm at (0.0000, 0.0304, 0.2500), Sm at (0.1074, 0.4361, 0.0866), Tm at (0.0859, 0.2769, 0.5733), Tm at (0.1788, 0.1652, 0.0836) and Tl at (0.2128, 0.0854, 0.5631).

11.
Material: Sm2Tm5Tl
Method: DFT, PBE
State: relaxed

For the volume, the calculation gives 29.86 Å³ per atom. The formation energy from the elements is -0.056 eV per atom. The total moment comes out at 0.00 μB per formula unit. The value obtained for the total DFT energy (no corrections) is -69.2 eV for the cell shown.

It has space group Pbam (No. 55), with a = 6.9673 Å, b = 13.9645 Å, c = 4.9098 Å, α = 90.00°, β = 90.00° and γ = 90.00°. Symmetry generates all atoms from Sm at (0.2443, 0.1292, 0.0000), Tm at (0.0000, 0.0000, 0.5000), Tm at (0.0056, 0.2561, 0.5000), Tm at (0.2438, 0.8762, 0.0000) and Tl at (0.0000, 0.5000, 0.5000).

12.
Material: Sm2TmTl4
Method: DFT, PBE
State: relaxed

For the volume, the calculation gives 30.76 Å³ per atom. The distance to the lowest polymorph of the same formula comes out at 0 meV per atom. The formation energy from the elements is -0.225 eV per atom. The total moment comes out at 0.00 μB per formula unit. The value obtained for the total DFT energy (no corrections) is -49.9 eV for the cell shown.

It has space group I4/mmm (No. 139), with a = 7.3050 Å, b = 7.3050 Å, c = 8.0689 Å, α = 90.00°, β = 90.00° and γ = 90.00°. Symmetry generates all atoms from Sm at (0.0000, 0.5000, 0.0000), Tm at (0.0000, 0.0000, 0.0000) and Tl at (0.2500, 0.2500, 0.2500).

Question: Number 10 is which compound?
Answer: Sm3Tm4Tl2